{"formula": "AcZr2FeN4", "functional": "PBE", "state": "relaxed", "dft_energy_ev_per_atom": -9.071, "total_magnetization_mub_per_atom": 0.34, "cell": [[1.685, -5.689, 0.000], [1.685, 5.689, 0.000], [0.000, 0.000, 11.258]], "species": ["Ac", "Ac", "Zr", "Zr", "Zr", "Zr", "Fe", "Fe", "N", "N", "N", "N", "N", "N", "N", "N"], "frac_coords": [[0.097, 0.903, 0.750], [0.903, 0.097, 0.250], [0.367, 0.633, 0.551], [0.367, 0.633, 0.949], [0.633, 0.367, 0.051], [0.633, 0.367, 0.449], [0.167, 0.833, 0.250], [0.833, 0.167, 0.750], [0.000, 0.000, 0.000], [0.000, 0.000, 0.500], [0.264, 0.736, 0.111], [0.264, 0.736, 0.389], [0.427, 0.573, 0.750], [0.573, 0.427, 0.250], [0.736, 0.264, 0.611], [0.736, 0.264, 0.889]]}

{"formula": "KNiPd2", "functional": "PBE", "state": "relaxed", "total_magnetization_mub_per_atom": 0.00, "delta_e_f_ev_per_atom": 0.485, "polymorph_energy_mev_per_atom": 0.0, "cell": [[-2.586, 2.586, 8.031], [2.586, -2.586, 8.031], [2.586, 2.586, -8.031]], "species": ["K", "K", "Ni", "Ni", "Pd", "Pd", "Pd", "Pd"], "frac_coords": [[0.000, 0.000, 0.000], [0.750, 0.250, 0.500], [0.250, 0.750, 0.500], [0.500, 0.500, 0.000], [0.333, 0.625, 0.208], [0.375, 0.583, 0.708], [0.417, 0.125, 0.792], [0.875, 0.667, 0.292]]}